(1)
Material: Nd2Er2CCl5
Method: DFT, PBE
State: optimized geometry

Computed properties:
calculated total energy = -5.40 eV/atom

Cell: 17.2111 3.8052 8.1362 Å, 90.00 103.52 90.00°
Last column: nearest neighbours and their distance in Å.
Space group C2/m (No. 12)
Unique sites:
Nd: 0.0020 0.0000 0.2867 x4  2 C 2.58, 1 Cl 2.86
Er: 0.1418 0.5000 0.5790 x4  1 C 2.37
C: 0.0000 0.5000 0.5000 x2  2 Er 2.37, 4 Nd 2.58
Cl: 0.0000 0.5000 0.0000 x2  4 Nd 3.00
Cl: 0.1686 0.0000 0.8196 x4  2 Er 2.69, 1 Nd 2.86
Cl: 0.1754 0.0000 0.3626 x4  3 Er 2.74-3.07, 1 Nd 2.90

***

(2)
Material: TbCuTePbSe2
Method: DFT, PBE
State: optimized geometry

Computed properties:
calculated total energy = -4.61 eV/atom

Cell: 4.1132 14.0167 11.1464 Å, 90.00 90.00 90.00°
Last column: nearest neighbours and their distance in Å.
Space group Cmcm (No. 63)
Unique sites:
Tb: 0.0000 0.0000 0.0000 x4  4 Se 2.89, 2 Te 3.07
Cu: 0.0000 0.4687 0.2500 x4  2 Se 2.48, 2 Te 2.69
Te: 0.0000 0.0919 0.2500 x4  2 Cu 2.69
Pb: 0.0000 0.2196 0.7500 x4  4 Se 3.12, 2 Cu 3.35, 2 Te 3.35
Se: 0.0000 0.3659 0.0694 x8  1 Cu 2.48

***

(3)
Material: Y3InCo3
Method: DFT, PBE
State: optimized geometry

Computed properties:
calculated total energy = -6.48 eV/atom

Cell: 4.2056 10.0446 13.0499 Å, 90.00 90.00 90.00°
Last column: nearest neighbours and their distance in Å.
Space group Cmcm (No. 63)
Unique sites:
Y: 0.0000 0.0037 0.2500 x4  7 Co 2.95-2.96, 2 In 3.26
Y: 0.0000 0.2946 0.1044 x8  6 Co 2.93-2.99, 3 In 3.25-3.26
In: 0.0000 0.0000 0.0000 x4  4 Co 2.68
Co: 0.0000 0.2901 0.7500 x4  2 Co 2.23
Co: 0.0000 0.4079 0.6051 x8  1 Co 2.23

***

(4)
Material: SrTaAs
Method: DFT, PBE
State: optimized geometry

Computed properties:
energy relative to the lowest polymorph listed for this composition = 0 meV per atom

Cell: 6.7127 6.7127 6.7127 Å, 90.00 90.00 90.00°
Last column: nearest neighbours and their distance in Å.
Space group F-43m (No. 216)
Unique sites:
Sr: 0.0000 0.0000 0.0000 x4  4 As 2.91
Ta: 0.0000 0.0000 0.5000 x4  4 As 2.91
As: 0.2500 0.2500 0.2500 x4  4 Ta 2.91, 4 Sr 2.91

***

(5)
Material: TmGaOs
Method: DFT, PBE
State: optimized geometry

Computed properties:
calculated total energy = -5.59 eV/atom

Cell: 6.4445 6.4445 6.4445 Å, 90.00 90.00 90.00°
Last column: nearest neighbours and their distance in Å.
Space group F-43m (No. 216)
Unique sites:
Tm: 0.0000 0.0000 0.0000 x4  4 Os 2.79, 4 Ga 2.79
Ga: 0.2500 0.2500 0.7500 x4  4 Tm 2.79
Os: 0.2500 0.2500 0.2500 x4  4 Tm 2.79

***

(6)
Material: ThZrRe
Method: DFT, PBE
State: optimized geometry

Computed properties:
formation enthalpy at 0 K = 65.6 kJ/mol of atoms

Cell: 6.6473 6.6473 6.6473 Å, 90.00 90.00 90.00°
Last column: nearest neighbours and their distance in Å.
Space group F-43m (No. 216)
Unique sites:
Th: 0.0000 0.0000 0.0000 x4  4 Zr 2.88
Zr: 0.2500 0.2500 0.7500 x4  4 Th 2.88, 4 Re 2.88
Re: 0.0000 0.0000 0.5000 x4  4 Zr 2.88

***

(7)
Material: Mg2CdIr
Method: DFT, PBE
State: optimized geometry

Computed properties:
calculated total energy = -3.38 eV/atom

Cell: 6.5445 6.5445 6.5445 Å, 90.00 90.00 90.00°
Last column: nearest neighbours and their distance in Å.
Space group F-43m (No. 216)
Unique sites:
Mg: 0.0000 0.0000 0.0000 x4  4 Mg 2.83, 4 Cd 2.83
Mg: 0.2500 0.2500 0.2500 x4  4 Mg 2.83, 4 Ir 2.83
Cd: 0.2500 0.2500 0.7500 x4  4 Mg 2.83, 4 Ir 2.83
Ir: 0.0000 0.0000 0.5000 x4  4 Cd 2.83, 4 Mg 2.83

***

(8)
Material: TbTmBe2Si2
Method: DFT, PBE
State: optimized geometry

Computed properties:
calculated total energy = -5.22 eV/atom

Cell: 3.8625 3.8625 7.9918 Å, 90.00 90.00 120.00°
Last column: nearest neighbours and their distance in Å.
Space group P-3m1 (No. 164)
Unique sites:
Tb: 0.0000 0.0000 0.0000 x1  6 Be 3.02, 6 Si 3.02
Tm: 0.0000 0.0000 0.5000 x1  6 Si 2.97, 6 Be 2.97
Be: 0.3333 0.6667 0.7458 x2  3 Si 2.23
Si: 0.3333 0.6667 0.2544 x2  3 Be 2.23